{"formula": "K2BeRu", "functional": "PBE-GGA", "state": "optimized geometry", "lattice_angstrom": [[-3.0758, -0.7451, 0.7528], [0.6046, -3.1329, -0.6303], [2.6765, -1.4039, 9.5457]], "species": ["Ru", "K", "K", "Be"], "frac_coords": [[0.0000, 0.0000, 0.6078], [0.0000, 0.0000, 0.9096], [0.5000, 0.5000, 0.3423], [0.5000, 0.5000, 0.6402]], "crystal_system": "tetragonal", "e_tot_ev_per_atom": -3.292, "magnetic_moment_mub_per_cell": 0.6, "formation_energy_mev_per_atom": 507, "spacegroup": "No. 99"}